This record from the Alexandria database describes a crystal of Pr2BiN relaxed with PBEsol. The functional is meta-GGA SCAN.

Structure (CIF):
```
data_Pr2BiN
_chemical_formula_sum 'Pr4 Bi2 N2'
_cell_length_a 4.717
_cell_length_b 4.717
_cell_length_c 9.341
_cell_angle_alpha 90.00
_cell_angle_beta 90.00
_cell_angle_gamma 90.00
_symmetry_space_group_name_H-M 'P 4/n m m'
_symmetry_Int_Tables_number 129
loop_
_symmetry_equiv_pos_as_xyz
'x,y,z'
'-x,-y,-z'
'-y+1/2,x,z'
'y+1/2,-x,-z'
'-x+1/2,-y+1/2,z'
'x+1/2,y+1/2,-z'
'y,-x+1/2,z'
'-y,x+1/2,-z'
'x+1/2,-y,-z'
'-x+1/2,y,z'
'-y,-x,-z'
'y,x,z'
'-x,y+1/2,-z'
'x,-y+1/2,z'
'y+1/2,x+1/2,-z'
'-y+1/2,-x+1/2,z'
loop_
_atom_site_label
_atom_site_type_symbol
_atom_site_fract_x
_atom_site_fract_y
_atom_site_fract_z
Pr1 Pr 0.250 0.250 0.173
Pr2 Pr 0.250 0.750 0.500
Bi1 Bi 0.250 0.250 0.804
N1 N 0.250 0.250 0.417
```

As for the formation energy (no corrections): -130.7 kJ/mol of atoms. Its electronic total energy is -44.986 eV/atom. As for the crystal system: tetragonal.

=====

This record from the Alexandria database describes a crystal of Bi2Pt2N relaxed with PBEsol. The functional is meta-GGA SCAN.

Structure (CIF):
```
data_Bi2Pt2N
_chemical_formula_sum 'Bi4 Pt4 N2'
_cell_length_a 3.651
_cell_length_b 3.651
_cell_length_c 14.901
_cell_angle_alpha 90.00
_cell_angle_beta 90.00
_cell_angle_gamma 90.00
_symmetry_space_group_name_H-M 'I 4/m m m'
_symmetry_Int_Tables_number 139
_symmetry_space_group_name_Hall '-I 4 2'
loop_
_atom_site_label
_atom_site_type_symbol
_atom_site_fract_x
_atom_site_fract_y
_atom_site_fract_z
Bi1 Bi 0.000 0.000 0.100
Pt1 Pt 0.000 0.500 0.250
N1 N 0.000 0.000 0.500
```

As for the formation energy (no corrections): 72.7 kJ/mol of atoms. Its electronic total energy is -60.614 eV/atom. As for the crystal system: tetragonal.

=====

This record from the Alexandria database describes a crystal of BiPtSeN2 relaxed with PBEsol. The functional is meta-GGA SCAN.

Structure (CIF):
```
data_BiPtSeN2
_chemical_formula_sum 'Bi1 Pt1 Se1 N2'
_cell_length_a 3.982
_cell_length_b 3.982
_cell_length_c 5.171
_cell_angle_alpha 90.00
_cell_angle_beta 90.00
_cell_angle_gamma 90.00
_symmetry_space_group_name_H-M 'P 4/m m m'
_symmetry_Int_Tables_number 123
_symmetry_space_group_name_Hall '-P 4 2'
loop_
_atom_site_label
_atom_site_type_symbol
_atom_site_fract_x
_atom_site_fract_y
_atom_site_fract_z
Bi1 Bi 0.000 0.000 0.000
Pt1 Pt 0.500 0.500 0.500
Se1 Se 0.500 0.500 0.000
N1 N 0.000 0.500 0.500
```

As for the formation energy (no corrections): 106.6 kJ/mol of atoms. Its electronic total energy is -36.382 eV/atom. As for the crystal system: tetragonal.

=====

This record from the Alexandria database describes a crystal of BiTe2PtN relaxed with PBEsol. The functional is meta-GGA SCAN.

Structure (CIF):
```
data_BiTe2PtN
_chemical_formula_sum 'Bi1 Te2 Pt1 N1'
_cell_length_a 5.748
_cell_length_b 5.748
_cell_length_c 4.001
_cell_angle_alpha 90.00
_cell_angle_beta 90.00
_cell_angle_gamma 90.00
_symmetry_space_group_name_H-M 'P 4/m m m'
_symmetry_Int_Tables_number 123
_symmetry_space_group_name_Hall '-P 4 2'
loop_
_atom_site_label
_atom_site_type_symbol
_atom_site_fract_x
_atom_site_fract_y
_atom_site_fract_z
Bi1 Bi 0.000 0.000 0.000
Te1 Te 0.000 0.500 0.000
Pt1 Pt 0.500 0.500 0.500
N1 N 0.000 0.000 0.500
```

As for the formation energy (no corrections): 162.2 kJ/mol of atoms. Its electronic total energy is -44.833 eV/atom. As for the crystal system: tetragonal.

=====

This record from the Alexandria database describes a crystal of YBi2PtN relaxed with PBEsol. The functional is meta-GGA SCAN.

Structure (CIF):
```
data_YBi2PtN
_chemical_formula_sum 'Y1 Bi2 Pt1 N1'
_cell_length_a 5.842
_cell_length_b 5.842
_cell_length_c 5.041
_cell_angle_alpha 90.00
_cell_angle_beta 90.00
_cell_angle_gamma 90.00
_symmetry_space_group_name_H-M 'P 4/m m m'
_symmetry_Int_Tables_number 123
_symmetry_space_group_name_Hall '-P 4 2'
loop_
_atom_site_label
_atom_site_type_symbol
_atom_site_fract_x
_atom_site_fract_y
_atom_site_fract_z
Y1 Y 0.000 0.000 0.000
Bi1 Bi 0.000 0.500 0.000
Pt1 Pt 0.000 0.000 0.500
N1 N 0.500 0.500 0.500
```

As for the formation energy (no corrections): 142.4 kJ/mol of atoms. Its electronic total energy is -51.422 eV/atom. As for the crystal system: tetragonal.

=====

This record from the Alexandria database describes a crystal of RbBiSe2N relaxed with PBEsol. The functional is meta-GGA SCAN.

Structure (CIF):
```
data_RbBiSe2N
_chemical_formula_sum 'Rb1 Bi1 Se2 N1'
_cell_length_a 5.565
_cell_length_b 5.565
_cell_length_c 4.628
_cell_angle_alpha 90.00
_cell_angle_beta 90.00
_cell_angle_gamma 90.00
_symmetry_space_group_name_H-M 'P 4/m m m'
_symmetry_Int_Tables_number 123
_symmetry_space_group_name_Hall '-P 4 2'
loop_
_atom_site_label
_atom_site_type_symbol
_atom_site_fract_x
_atom_site_fract_y
_atom_site_fract_z
Rb1 Rb 0.000 0.000 0.000
Bi1 Bi 0.500 0.500 0.500
Se1 Se 0.000 0.500 0.500
N1 N 0.500 0.500 0.000
```

As for the formation energy (no corrections): 26.4 kJ/mol of atoms. Its electronic total energy is -29.480 eV/atom. As for the crystal system: tetragonal.

=====

This record from the Alexandria database describes a crystal of RbTlBiN2 relaxed with PBEsol. The functional is meta-GGA SCAN.

Structure (CIF):
```
data_RbTlBiN2
_chemical_formula_sum 'Rb1 Tl1 Bi1 N2'
_cell_length_a 4.606
_cell_length_b 4.606
_cell_length_c 5.863
_cell_angle_alpha 90.00
_cell_angle_beta 90.00
_cell_angle_gamma 90.00
_symmetry_space_group_name_H-M 'P 4/m m m'
_symmetry_Int_Tables_number 123
_symmetry_space_group_name_Hall '-P 4 2'
loop_
_atom_site_label
_atom_site_type_symbol
_atom_site_fract_x
_atom_site_fract_y
_atom_site_fract_z
Rb1 Rb 0.000 0.000 0.000
Tl1 Tl 0.000 0.000 0.500
Bi1 Bi 0.500 0.500 0.000
N1 N 0.000 0.500 0.500
```

As for the formation energy (no corrections): 181.7 kJ/mol of atoms. Its electronic total energy is -36.168 eV/atom. As for the crystal system: tetragonal.

=====

This record from the Alexandria database describes a crystal of ReBiN2 relaxed with PBEsol. The functional is meta-GGA SCAN.

Structure (CIF):
```
data_ReBiN2
_chemical_formula_sum 'Re3 Bi3 N6'
_cell_length_a 3.2849
_cell_length_b 3.2849
_cell_length_c 19.7880
_cell_angle_alpha 90.00
_cell_angle_beta 90.00
_cell_angle_gamma 120.00
_symmetry_space_group_name_H-M 'R -3 m'
_symmetry_Int_Tables_number 166
_symmetry_space_group_name_Hall '-R 3 2"'
loop_
_atom_site_label
_atom_site_type_symbol
_atom_site_fract_x
_atom_site_fract_y
_atom_site_fract_z
Re1 Re 0.0000 0.0000 0.0000
Bi1 Bi 0.0000 0.0000 0.5000
N1 N 0.0000 0.0000 0.0945
```

As for the formation energy (no corrections): 106.8 kJ/mol of atoms. Its electronic total energy is -40.958 eV/atom. As for the crystal system: trigonal.

=====

This record from the Alexandria database describes a crystal of Re2BiN relaxed with PBEsol. The functional is meta-GGA SCAN.

Structure (CIF):
```
data_Re2BiN
_chemical_formula_sum 'Re8 Bi4 N4'
_cell_length_a 4.862
_cell_length_b 4.862
_cell_length_c 12.204
_cell_angle_alpha 90.00
_cell_angle_beta 90.00
_cell_angle_gamma 90.00
_symmetry_space_group_name_H-M 'I -4 2 d'
_symmetry_Int_Tables_number 122
_symmetry_space_group_name_Hall 'I -4 2bw'
loop_
_atom_site_label
_atom_site_type_symbol
_atom_site_fract_x
_atom_site_fract_y
_atom_site_fract_z
Re1 Re 0.096 0.250 0.125
Bi1 Bi 0.000 0.000 0.500
N1 N 0.000 0.000 0.000
```

As for the formation energy (no corrections): 82.7 kJ/mol of atoms. Its electronic total energy is -56.659 eV/atom. As for the crystal system: tetragonal.

=====

This record from the Alexandria database describes a crystal of Re2SnBiN relaxed with PBEsol. The functional is meta-GGA SCAN.

Structure (CIF):
```
data_Re2SnBiN
_chemical_formula_sum 'Re2 Sn1 Bi1 N1'
_cell_length_a 5.083
_cell_length_b 5.083
_cell_length_c 5.941
_cell_angle_alpha 90.00
_cell_angle_beta 90.00
_cell_angle_gamma 90.00
_symmetry_space_group_name_H-M 'P 4/m m m'
_symmetry_Int_Tables_number 123
_symmetry_space_group_name_Hall '-P 4 2'
loop_
_atom_site_label
_atom_site_type_symbol
_atom_site_fract_x
_atom_site_fract_y
_atom_site_fract_z
Re1 Re 0.000 0.500 0.000
Sn1 Sn 0.000 0.000 0.500
Bi1 Bi 0.000 0.000 0.000
N1 N 0.500 0.500 0.500
```

As for the formation energy (no corrections): 342.5 kJ/mol of atoms. Its electronic total energy is -49.647 eV/atom. As for the crystal system: tetragonal.

=====

This record from the Alexandria database describes a crystal of Bi2RhN relaxed with PBEsol. The functional is meta-GGA SCAN.

Structure (CIF):
```
data_Bi2RhN
_chemical_formula_sum 'Bi8 Rh4 N4'
_cell_length_a 5.853
_cell_length_b 5.853
_cell_length_c 10.539
_cell_angle_alpha 90.00
_cell_angle_beta 90.00
_cell_angle_gamma 90.00
_symmetry_space_group_name_H-M 'I -4 2 d'
_symmetry_Int_Tables_number 122
_symmetry_space_group_name_Hall 'I -4 2bw'
loop_
_atom_site_label
_atom_site_type_symbol
_atom_site_fract_x
_atom_site_fract_y
_atom_site_fract_z
Bi1 Bi 0.212 0.750 0.125
Rh1 Rh 0.000 0.000 0.500
N1 N 0.000 0.000 0.000
```

As for the formation energy (no corrections): 54.3 kJ/mol of atoms. Its electronic total energy is -49.492 eV/atom. As for the crystal system: tetragonal.

=====

This record from the Alexandria database describes a crystal of Bi2RuN relaxed with PBEsol. The functional is meta-GGA SCAN.

Structure (CIF):
```
data_Bi2RuN
_chemical_formula_sum 'Bi8 Ru4 N4'
_cell_length_a 5.896
_cell_length_b 5.896
_cell_length_c 10.240
_cell_angle_alpha 90.00
_cell_angle_beta 90.00
_cell_angle_gamma 90.00
_symmetry_space_group_name_H-M 'I -4 2 d'
_symmetry_Int_Tables_number 122
_symmetry_space_group_name_Hall 'I -4 2bw'
loop_
_atom_site_label
_atom_site_type_symbol
_atom_site_fract_x
_atom_site_fract_y
_atom_site_fract_z
Bi1 Bi 0.212 0.750 0.125
Ru1 Ru 0.000 0.000 0.500
N1 N 0.000 0.000 0.000
```

As for the formation energy (no corrections): 87.7 kJ/mol of atoms. Its electronic total energy is -49.411 eV/atom. As for the crystal system: tetragonal.